Model A:
Computed, not measured: an optimized crystal structure of HoAgPt at the PBE level of DFT.

abc: 3.3678 4.6314 4.6314
angles: 120.00 90.00 90.00
Last column: nearest neighbours and their distance in Å.
Element x y z (fractional)
Ho 0.6666 0.6667 0.3333  6 Pt 3.16, 6 Ag 3.16, 2 Ho 3.37
Pt 0.1679 0.3333 0.6667  3 Ag 2.67
Ag 0.1656 0.0000 0.0000  3 Pt 2.67

Summary:
**Space group**: No. 156
**Fermi-level density of states**: 2.0 states/eV per cell

=====

Model B:
Computed, not measured: an optimized crystal structure of HoAgPt at the PBE level of DFT.

abc: 4.6399 4.6399 4.6399
angles: 60.00 60.00 60.00
Last column: nearest neighbours and their distance in Å.
Element x y z (fractional)
Pt 0.2500 0.2500 0.2500  4 Ho 2.84, 4 Ag 2.84
Ag 0.0000 0.0000 0.0000  4 Pt 2.84
Ho 0.5000 0.5000 0.5000  4 Pt 2.84

Summary:
**Space group**: No. 216
**Fermi-level density of states**: 1.1 states/eV per cell

=====

Model C:
Computed, not measured: an optimized crystal structure of HoAgPt at the PBE level of DFT.

abc: 5.2746 6.5374 7.0939
angles: 96.64 90.00 90.00
Last column: nearest neighbours and their distance in Å.
Element x y z (fractional)
Ho 0.3718 0.9956 0.2225  5 Pt 2.86-2.96, 5 Ag 3.05-3.19
Ho 0.1282 0.4956 0.2225  5 Pt 2.86-2.96, 5 Ag 3.05-3.19
Ho 0.6282 0.0044 0.7775  5 Pt 2.86-2.96, 5 Ag 3.05-3.19
Ho 0.8718 0.5044 0.7775  5 Pt 2.86-2.96, 5 Ag 3.05-3.19
Ag 0.8586 0.1647 0.4176  3 Ag 2.97-3.04, 2 Pt 2.99, 5 Ho 3.05-3.19
Ag 0.3586 0.3353 0.5824  3 Ag 2.97-3.04, 2 Pt 2.99, 5 Ho 3.05-3.19
Ag 0.6414 0.6647 0.4176  3 Ag 2.97-3.04, 2 Pt 2.99, 5 Ho 3.05-3.19
Ag 0.1414 0.8353 0.5824  3 Ag 2.97-3.04, 2 Pt 2.99, 5 Ho 3.05-3.19
Pt 0.6271 0.3384 0.0858  5 Ho 2.86-2.96, 3 Pt 2.89-3.07, 2 Ag 2.99
Pt 0.8729 0.8384 0.0858  5 Ho 2.86-2.96, 3 Pt 2.89-3.07, 2 Ag 2.99
Pt 0.1271 0.1616 0.9142  5 Ho 2.86-2.96, 3 Pt 2.89-3.07, 2 Ag 2.99
Pt 0.3729 0.6616 0.9142  5 Ho 2.86-2.96, 3 Pt 2.89-3.07, 2 Ag 2.99

Summary:
**Space group**: No. 14
**Fermi-level density of states**: 4.0 states/eV per cell

=====

Relative energies, in eV/atom, with the most stable structure set to zero: model A 0.077; model B 0.029; model C 0.000.

=====

Model A:
Computed, not measured: an optimized crystal structure of HoPuAg4 at the PBE level of DFT.

abc: 5.2704 5.2750 5.4548
angles: 61.08 90.00 90.00
Last column: nearest neighbours and their distance in Å.
Element x y z (fractional)
Ag 0.5013 0.6735 0.1522  5 Ag 3.01-3.28, 2 Ho 3.10, 3 Pu 3.10-3.14
Ag 0.0013 0.1786 0.1418  4 Ag 2.98-3.01, 3 Ho 3.09-3.13, 2 Pu 3.13
Ag 0.5013 0.3304 0.8385  5 Ag 3.01-3.28, 2 Ho 3.10, 3 Pu 3.10-3.14
Ag 0.0013 0.8249 0.8493  4 Ag 2.98-3.01, 3 Ho 3.09-3.13, 2 Pu 3.13
Ho 0.0013 0.5018 0.4955  10 Ag 3.09-3.13
Pu 0.5013 0.0019 0.4954  10 Ag 3.10-3.14

Summary:
**Space group**: No. 65
**Fermi-level density of states**: 11.7 states/eV per cell

=====

Model B:
Computed, not measured: an optimized crystal structure of HoPuAg4 at the PBE level of DFT.

abc: 5.6999 5.6999 5.6999
angles: 60.00 60.00 60.00
Last column: nearest neighbours and their distance in Å.
Element x y z (fractional)
Ag 0.1245 0.6252 0.6252  6 Ag 2.85
Ag 0.6252 0.6252 0.6252  6 Ag 2.85
Ag 0.6252 0.6252 0.1245  6 Ag 2.85
Ag 0.6252 0.1245 0.6252  6 Ag 2.85
Pu 0.2500 0.2500 0.2500  12 Ag 3.34, 4 Ho 3.49
Ho 0.0000 0.0000 0.0000  12 Ag 3.34, 4 Pu 3.49

Summary:
**Space group**: No. 216
**Fermi-level density of states**: 13.9 states/eV per cell

=====

Relative energies, in eV/atom, with the most stable structure set to zero: model A 0.000; model B 0.057.

=====

Model A:
Computed, not measured: an optimized crystal structure of HoAgRh at the PBE level of DFT.

abc: 3.3948 5.5754 7.1332
angles: 113.00 103.77 90.00
Last column: nearest neighbours and their distance in Å.
Element x y z (fractional)
Ho 0.8149 0.3149 0.6298  4 Rh 2.78-2.84
Ho 0.1851 0.6851 0.3702  4 Rh 2.78-2.84
Ag 0.5000 0.2543 0.0000  2 Ag 2.74-2.84, 4 Rh 2.85
Ag 0.5000 0.7457 0.0000  2 Ag 2.74-2.84, 4 Rh 2.85
Rh 0.1413 0.1413 0.2825  4 Ho 2.78-2.84, 4 Ag 2.85
Rh 0.8587 0.8587 0.7175  4 Ho 2.78-2.84, 4 Ag 2.85

Summary:
**Space group**: No. 71
**Fermi-level density of states**: 1.8 states/eV per cell

=====

Model B:
Computed, not measured: an optimized crystal structure of HoAgRh at the PBE level of DFT.

abc: 3.5261 3.5261 5.3285
angles: 109.32 109.32 90.00
Last column: nearest neighbours and their distance in Å.
Element x y z (fractional)
Ho 0.9382 0.9382 0.8764  4 Rh 2.87, 5 Ag 2.96-3.05
Ag 0.6240 0.6240 0.2479  5 Rh 2.93-3.17, 5 Ho 2.96-3.05
Rh 0.2878 0.2878 0.5756  4 Ho 2.87, 5 Ag 2.93-3.17

Summary:
**Space group**: No. 107
**Fermi-level density of states**: 2.0 states/eV per cell

=====

Model C:
Computed, not measured: an optimized crystal structure of HoAgRh at the PBE level of DFT.

abc: 3.3343 4.5869 4.5869
angles: 120.00 90.00 90.00
Last column: nearest neighbours and their distance in Å.
Element x y z (fractional)
Rh 0.1667 0.0000 0.0000  3 Ag 2.65
Ag 0.1665 0.3333 0.6667  3 Rh 2.65
Ho 0.6667 0.6667 0.3333  6 Ag 3.13, 6 Rh 3.13, 2 Ho 3.33

Summary:
**Space group**: No. 187
**Fermi-level density of states**: 1.6 states/eV per cell

=====

Model D:
Computed, not measured: an optimized crystal structure of HoAgRh at the PBE level of DFT.

abc: 4.8852 4.8852 5.6394
angles: 90.00 90.00 119.97
Last column: nearest neighbours and their distance in Å.
Element x y z (fractional)
Ag 0.0000 0.5000 0.0000  2 Ag 2.82, 6 Rh 3.15, 6 Ho 3.15
Ag 0.0000 0.5000 0.5000  2 Ag 2.82, 6 Rh 3.15, 6 Ho 3.15
Ho 0.6666 0.8334 0.7500  5 Rh 2.82, 6 Ag 3.15
Ho 0.3334 0.1666 0.2500  5 Rh 2.82, 6 Ag 3.15
Rh 0.6668 0.8332 0.2500  5 Ho 2.82, 6 Ag 3.15
Rh 0.3332 0.1668 0.7500  5 Ho 2.82, 6 Ag 3.15

Summary:
**Space group**: No. 194
**Fermi-level density of states**: 3.3 states/eV per cell

=====

Relative energies, in eV/atom, with the most stable structure set to zero: model A 0.086; model B 0.079; model C 0.149; model D 0.000.

=====

Model A:
Computed, not measured: an optimized crystal structure of Ho8Ag2Rh at the PBE level of DFT.

abc: 5.9949 8.8063 8.8063
angles: 129.71 103.02 103.02
Last column: nearest neighbours and their distance in Å.
Element x y z (fractional)
Ho 0.1307 0.2762 0.2762  1 Rh 2.65
Ho 0.6507 0.3888 0.1545  1 Rh 2.75, 1 Ag 2.93
Ho 0.2881 0.8418 0.6138  1 Rh 2.76, 1 Ag 2.99
Ho 0.9839 0.1994 0.8112  4 Ag 3.30-3.36, 6 Ho 3.50-3.65, 1 Rh 3.59
Ho 0.9839 0.8112 0.1994  4 Ag 3.30-3.36, 6 Ho 3.50-3.65, 1 Rh 3.59
Ho 0.7665 0.7277 0.7277  1 Rh 2.69
Ho 0.2881 0.6138 0.8418  1 Rh 2.76, 1 Ag 2.99
Ho 0.6507 0.1545 0.3888  1 Rh 2.75, 1 Ag 2.93
Ag 0.4843 0.7262 0.2885  4 Ho 2.93-3.20
Ag 0.4843 0.2885 0.7262  4 Ho 2.93-3.20
Rh 0.2885 0.0057 0.0057  6 Ho 2.65-2.76

Summary:
**Space group**: No. 8
**Fermi-level density of states**: 11.3 states/eV per cell

=====

Model B:
Computed, not measured: an optimized crystal structure of Ho8Ag2Rh at the PBE level of DFT.

abc: 5.1968 6.7859 9.0488
angles: 106.77 106.69 90.00
Last column: nearest neighbours and their distance in Å.
Element x y z (fractional)
Ho 0.0272 0.7881 0.0545  1 Ag 2.90, 2 Rh 3.07
Ho 0.1996 0.3084 0.3992  1 Ag 2.87
Ho 0.3404 0.0304 0.6807  1 Rh 2.84, 1 Ag 2.90
Ho 0.8004 0.6916 0.6008  1 Ag 2.87
Ho 0.5902 0.4338 0.1803  1 Rh 2.89
Ho 0.4098 0.5662 0.8197  1 Rh 2.89
Ho 0.9728 0.2119 0.9455  1 Ag 2.90, 2 Rh 3.07
Ho 0.6596 0.9696 0.3193  1 Rh 2.84, 1 Ag 2.90
Rh 0.5000 0.0000 0.0000  8 Ho 2.84-3.07
Ag 0.8161 0.2824 0.6322  5 Ho 2.87-3.21
Ag 0.1839 0.7176 0.3678  5 Ho 2.87-3.21

Summary:
**Space group**: No. 12
**Fermi-level density of states**: 9.9 states/eV per cell

=====

Relative energies, in eV/atom, with the most stable structure set to zero: model A 0.054; model B 0.000.

=====

Model A:
Computed, not measured: an optimized crystal structure of Ho3Ag2Rh at the PBE level of DFT.

abc: 5.7644 7.8183 7.5636
angles: 104.92 112.40 90.00
Last column: nearest neighbours and their distance in Å.
Element x y z (fractional)
Ho 0.1377 0.0697 0.2799  2 Rh 2.71, 2 Ag 2.94
Ho 0.8579 0.4303 0.7201  2 Rh 2.71, 2 Ag 2.94
Ho 0.4985 0.7500 0.0000  2 Rh 2.88, 4 Ag 3.13
Ho 0.1421 0.5697 0.2799  2 Rh 2.71, 2 Ag 2.94
Ho 0.5015 0.2500 0.0000  2 Rh 2.88, 4 Ag 3.13
Ho 0.8623 0.9303 0.7201  2 Rh 2.71, 2 Ag 2.94
Ag 0.3201 0.9088 0.6357  6 Ho 2.94-3.13
Ag 0.6844 0.5912 0.3643  6 Ho 2.94-3.13
Ag 0.3156 0.4088 0.6357  6 Ho 2.94-3.13
Ag 0.6799 0.0912 0.3643  6 Ho 2.94-3.13
Rh 0.0019 0.2500 0.0000  6 Ho 2.71-2.88
Rh 0.9981 0.7500 0.0000  6 Ho 2.71-2.88

Summary:
**Space group**: No. 15
**Fermi-level density of states**: 8.7 states/eV per cell

=====

Model B:
Computed, not measured: an optimized crystal structure of Ho3Ag2Rh at the PBE level of DFT.

abc: 4.9981 4.9981 6.1774
angles: 90.00 90.00 120.00
Last column: nearest neighbours and their distance in Å.
Element x y z (fractional)
Ho 0.6667 0.3333 0.8511  3 Rh 3.03, 5 Ag 3.06-3.13
Ho 0.3333 0.6667 0.1489  3 Rh 3.03, 5 Ag 3.06-3.13
Ho 0.0000 0.0000 0.5000  6 Ag 3.04, 2 Rh 3.09
Rh 0.0000 0.0000 0.0000  8 Ho 3.03-3.09
Ag 0.6667 0.3333 0.3469  8 Ho 3.04-3.13
Ag 0.3333 0.6667 0.6531  8 Ho 3.04-3.13

Summary:
**Space group**: No. 164
**Fermi-level density of states**: 5.0 states/eV per cell

=====

Relative energies, in eV/atom, with the most stable structure set to zero: model A 0.163; model B 0.000.

=====

Model A:
Computed, not measured: an optimized crystal structure of SmHoAgRh at the PBE level of DFT.

abc: 3.5345 3.5345 7.2403
angles: 90.00 90.00 90.00
Last column: nearest neighbours and their distance in Å.
Element x y z (fractional)
Ag 0.5000 0.5000 0.1196  4 Ho 3.12, 4 Sm 3.24, 1 Rh 3.45
Sm 0.0000 0.0000 0.8354  4 Rh 3.04, 4 Ag 3.24, 1 Ho 3.32
Rh 0.5000 0.5000 0.5964  4 Ho 2.96, 4 Sm 3.04
Ho 0.0000 0.0000 0.3767  4 Rh 2.96, 4 Ag 3.12

Summary:
**Space group**: No. 99
**Fermi-level density of states**: 3.9 states/eV per cell

=====

Model B:
Computed, not measured: an optimized crystal structure of SmHoAgRh at the PBE level of DFT.

abc: 5.0276 5.0276 5.0276
angles: 60.00 60.00 60.00
Last column: nearest neighbours and their distance in Å.
Element x y z (fractional)
Sm 0.2500 0.2500 0.2500  4 Rh 3.08, 4 Ag 3.08
Ho 0.7500 0.7500 0.7500  4 Rh 3.08, 4 Ag 3.08
Rh 0.0000 0.0000 0.0000  4 Sm 3.08, 4 Ho 3.08
Ag 0.5000 0.5000 0.5000  4 Ho 3.08, 4 Sm 3.08

Summary:
**Space group**: No. 216
**Fermi-level density of states**: 3.6 states/eV per cell

=====

Relative energies, in eV/atom, with the most stable structure set to zero: model A 0.000; model B 0.026.

=====

Model A:
Computed, not measured: an optimized crystal structure of Ho4AgRu2 at the PBE level of DFT.

abc: 4.8389 4.8389 6.8921
angles: 90.00 90.00 90.00
Last column: nearest neighbours and their distance in Å.
Element x y z (fractional)
Ru 0.5000 0.5000 0.5000  8 Ho 2.94
Ru 0.0000 0.0000 0.0000  8 Ho 3.00
Ho 0.5000 0.0000 0.7432  4 Ru 2.94-3.00, 2 Ag 3.00
Ho 0.0000 0.5000 0.7432  4 Ru 2.94-3.00, 2 Ag 3.00
Ho 0.0000 0.5000 0.2568  4 Ru 2.94-3.00, 2 Ag 3.00
Ho 0.5000 0.0000 0.2568  4 Ru 2.94-3.00, 2 Ag 3.00
Ag 0.5000 0.5000 0.0000  8 Ho 3.00

Summary:
**Space group**: No. 123
**Fermi-level density of states**: 2.3 states/eV per cell

=====

Model B:
Computed, not measured: an optimized crystal structure of Ho4AgRu2 at the PBE level of DFT.

abc: 6.7217 7.5502 7.8803
angles: 111.44 107.38 105.47
Last column: nearest neighbours and their distance in Å.
Element x y z (fractional)
Ho 0.8897 0.6377 0.1362  3 Ru 2.84-2.96, 1 Ag 3.18
Ho 0.4725 0.1035 0.3719  3 Ru 2.74-2.91, 1 Ag 2.91
Ho 0.7600 0.1364 0.8086  2 Ru 2.70-2.82
Ho 0.7887 0.6099 0.5717  3 Ru 2.87-2.96, 1 Ag 2.98
Ho 0.3504 0.4816 0.1285  3 Ru 2.74-2.91, 1 Ag 2.91
Ho 0.2016 0.0783 0.6913  2 Ru 2.70-2.82
Ho 0.4665 0.7879 0.9284  3 Ru 2.87-2.97, 1 Ag 2.98
Ho 0.0032 0.2510 0.3635  3 Ru 2.84-2.96, 1 Ag 3.17
Ru 0.0420 0.4332 0.7707  5 Ho 2.70-2.89
Ru 0.5218 0.4128 0.7291  5 Ho 2.70-2.89
Ru 0.5991 0.2462 0.1062  7 Ho 2.74-3.06
Ru 0.7429 0.8899 0.3937  7 Ho 2.74-3.06
Ag 0.3329 0.7181 0.5054  6 Ho 2.91-3.21, 1 Ru 3.23
Ag 0.0787 0.9634 0.9947  6 Ho 2.91-3.21, 1 Ru 3.22

Summary:
**Space group**: No. 1
**Fermi-level density of states**: 9.6 states/eV per cell

=====

Relative energies, in eV/atom, with the most stable structure set to zero: model A 0.000; model B 0.019.

=====

Model A:
Computed, not measured: an optimized crystal structure of HoScAgRu at the PBE level of DFT.

abc: 3.3156 3.3156 7.3074
angles: 90.00 90.00 90.00
Last column: nearest neighbours and their distance in Å.
Element x y z (fractional)
Ag 0.0000 0.0000 0.0906  4 Sc 3.02, 4 Ho 3.21, 4 Ag 3.32
Ho 0.5000 0.5000 0.7906  4 Ru 2.92, 4 Ag 3.21, 1 Sc 3.22
Sc 0.5000 0.5000 0.3503  4 Ru 2.77, 4 Ag 3.02
Ru 0.0000 0.0000 0.5532  4 Sc 2.77, 4 Ho 2.92

Summary:
**Space group**: No. 99
**Fermi-level density of states**: 2.4 states/eV per cell

=====

Model B:
Computed, not measured: an optimized crystal structure of HoScAgRu at the PBE level of DFT.

abc: 4.8152 4.8152 4.8152
angles: 60.00 60.00 60.00
Last column: nearest neighbours and their distance in Å.
Element x y z (fractional)
Sc 0.7500 0.7500 0.7500  4 Ru 2.95, 4 Ag 2.95
Ru 0.5000 0.5000 0.5000  4 Ho 2.95, 4 Sc 2.95
Ho 0.2500 0.2500 0.2500  4 Ru 2.95, 4 Ag 2.95
Ag 0.0000 0.0000 0.0000  4 Sc 2.95, 4 Ho 2.95

Summary:
**Space group**: No. 216
**Fermi-level density of states**: 2.0 states/eV per cell

=====

Relative energies, in eV/atom, with the most stable structure set to zero: model A 0.000; model B 0.083.